[1]
Computed, not measured: BaSeCl after structural relaxation at the PBE level of DFT.

## Properties
Total magnetization = 1.02 Bohr magnetons per cell
DOS(E_F) = 3.63 states/eV/f.u.
Relative energy among the computed polymorphs = 0.551 eV per atom

```
data_BaSeCl
_chemical_formula_sum 'Ba1 Se1 Cl1'
_space_group_name_H-M_alt 'P 3 m 1'
_space_group_IT_number 156
_cell_length_a 5.1606
_cell_length_b 5.1606
_cell_length_c 4.4739
_cell_angle_alpha 90.00
_cell_angle_beta 90.00
_cell_angle_gamma 120.00
loop_
_space_group_symop_operation_xyz
'x,y,z'
'-y,x-y,z'
'-x+y,-x,z'
'-y,-x,z'
'-x+y,y,z'
'x,x-y,z'
loop_
_atom_site_label
_atom_site_fract_x
_atom_site_fract_y
_atom_site_fract_z
_atom_site_occupancy
Ba1 0.0000 0.0000 0.0000 1
Se1 0.3333 0.6667 0.5472 1
Cl1 0.6667 0.3333 0.0754 1
```



[2]
Computed, not measured: Pa4RhO10 after structural relaxation at the PBE level of DFT.

## Properties
Total magnetization = 1.69 Bohr magnetons per cell
VASP energy = -9.45 eV per atom
DOS(E_F) = 9.03 states/eV/f.u.

```
data_Pa4RhO10
_chemical_formula_sum 'Pa8 Rh2 O20'
_space_group_name_H-M_alt 'I 4/m'
_space_group_IT_number 87
_space_group_name_Hall '-I 4'
_cell_length_a 8.574
_cell_length_b 8.574
_cell_length_c 5.430
_cell_angle_alpha 90.00
_cell_angle_beta 90.00
_cell_angle_gamma 90.00
loop_
_atom_site_label
_atom_site_fract_x
_atom_site_fract_y
_atom_site_fract_z
_atom_site_occupancy
Pa1 0.103 0.297 0.000 1
Rh1 0.000 0.000 0.500 1
O1 0.000 0.500 0.250 1
O2 0.103 0.788 0.238 1
```



[3]
Computed, not measured: Ta3TlPd after structural relaxation at the PBE level of DFT.

## Properties
Total magnetization = 0.00 Bohr magnetons per cell
DOS(E_F) = 4.56 states/eV/f.u.
Relative energy among the computed polymorphs = 0.000 eV per atom

```
data_Ta3TlPd
_chemical_formula_sum 'Ta3 Tl1 Pd1'
_space_group_name_H-M_alt 'P m -3 m'
_space_group_IT_number 221
_space_group_name_Hall '-P 4 2 3'
_cell_length_a 4.863
_cell_length_b 4.863
_cell_length_c 4.863
_cell_angle_alpha 90.00
_cell_angle_beta 90.00
_cell_angle_gamma 90.00
loop_
_atom_site_label
_atom_site_fract_x
_atom_site_fract_y
_atom_site_fract_z
_atom_site_occupancy
Ta1 0.000 0.000 0.500 1
Tl1 0.500 0.500 0.500 1
Pd1 0.000 0.000 0.000 1
```



Question: The lowest total magnetization belongs to which entry?
Answer: Ta3TlPd



Question: Among the records above, which one has the lowest DOS(E_F)?
Answer: BaSeCl



Question: Which of these has the lowest DOS(E_F)?
Answer: BaSeCl